Record 1
Here is a relaxed structure of Ni2POs from Alexandria via LeMat-Bulk. Energies are from PBE-GGA.

Structure (extended XYZ):
```
4
Lattice="3.579 0.562 -3.671 -3.856 2.094 2.711 2.293 1.109 2.405" Properties=species:S:1:pos:R:3 pbc="T T T"
Os 2.180 0.850 -2.470
Ni -3.265 1.972 2.204
Ni 0.625 1.961 1.051
P 2.231 1.630 -0.327
```

Its total energy is -28.48 eV per formula unit. As for the space group: Amm2 (38). As for the formation energy: -0.068 eV/atom.

Record 2
Here is a relaxed structure of NaHf2ScC from Alexandria via LeMat-Bulk. Energies are from PBE-GGA.

Structure (extended XYZ):
```
5
Lattice="5.217 0.000 0.000 0.000 4.277 0.000 0.000 0.000 5.217" Properties=species:S:1:pos:R:3 pbc="T T T"
Sc 0.000 0.000 0.000
Na 2.608 2.139 2.608
Hf 2.608 0.000 0.000
Hf 0.000 0.000 2.608
C 0.000 2.139 0.000
```

Its total energy is -28.37 eV per formula unit. As for the space group: P4/mmm (123). As for the formation energy: 1.683 eV/atom.

Record 3
Here is a relaxed structure of Sm3Er5Tm3 from Alexandria via LeMat-Bulk. Energies are from PBE-GGA.

Structure (extended XYZ):
```
11
Lattice="3.403 0.000 0.000 0.000 11.079 0.000 0.000 -5.540 9.595" Properties=species:S:1:pos:R:3 pbc="T T T"
Sm 1.701 3.765 0.000
Sm 1.701 -1.883 3.261
Sm 1.701 3.657 6.334
Er 1.701 9.307 0.000
Er 1.701 0.000 6.397
Er 1.701 -4.653 8.060
Er 1.701 5.540 3.198
Er 1.701 0.886 1.535
Tm 0.000 -3.287 5.693
Tm 0.000 2.253 3.902
Tm 0.000 6.574 0.000
```

Its total energy is -46.54 eV per formula unit. As for the space group: P-62m (189). As for the formation energy: 0.350 eV/atom.

Record 4
Here is a relaxed structure of LaNd3Ho2Se6 from Alexandria via LeMat-Bulk. Energies are from PBE-GGA.

Structure (extended XYZ):
```
12
Lattice="-1.065 -1.777 6.941 2.209 -5.009 -4.744 6.157 3.831 0.665" Properties=species:S:1:pos:R:3 pbc="T T T"
Nd 2.536 -0.378 5.408
Nd 4.764 -2.577 -2.545
Nd 3.650 -1.477 1.431
La 0.000 0.000 0.000
Se 1.220 -0.234 2.742
Se 2.287 -4.065 1.765
Se 4.948 -1.602 4.165
Se 5.014 1.110 1.098
Se 6.081 -2.721 0.121
Se 2.353 -1.352 -1.302
Ho 1.119 -3.934 -0.856
Ho 0.024 -2.852 3.054
```

The value obtained for the energy relative to the elements, uncorrected is -1828 meV/atom. Its total energy is -71.23 eV per formula unit. As for the space group: C2/m (12).

Record 5
Here is a relaxed structure of Tl2GaAu7 from Alexandria via LeMat-Bulk. Energies are from PBE-GGA.

Structure (extended XYZ):
```
10
Lattice="-2.578 0.010 -3.019 1.007 -3.740 -0.873 -9.862 -4.616 8.404" Properties=species:S:1:pos:R:3 pbc="T T T"
Au -4.719 -1.600 1.413
Au -4.931 -2.308 4.202
Au 0.000 0.000 0.000
Au -7.917 -5.811 6.739
Au -2.731 -0.670 -0.281
Au -5.717 -4.172 2.256
Au -5.929 -4.880 5.045
Tl -8.673 -3.451 4.783
Tl -1.974 -3.029 1.675
Ga -0.785 -1.865 -1.946
```

Its total energy is -30.93 eV per formula unit. As for the space group: P-4m2 (115). As for the formation energy: -0.023 eV/atom.

Record 6
Here is a relaxed structure of BeNiAs2 from Alexandria via LeMat-Bulk. Energies are from PBE-GGA.

Structure (extended XYZ):
```
4
Lattice="5.219 0.102 0.000 2.752 4.436 0.000 -3.986 -2.269 2.493" Properties=species:S:1:pos:R:3 pbc="T T T"
As 0.000 0.000 0.000
As 1.376 2.218 1.247
Be 3.986 2.269 0.000
Ni 2.610 0.051 1.247
```

Its total energy is -17.63 eV per formula unit. As for the space group: I-4m2 (119). As for the formation energy: 0.293 eV/atom.

Number 1 is which compound? Ni2POs